VASP calculation (PBE-GGA) on HoTmSeN after structural relaxation.

The space group is R3m (No. 160, hexagonal axes) and the conventional cell measures 3.6268, 3.6268 and 19.3205 Å, with angles of 90.00, 90.00 and 120.00 degrees. The asymmetric unit holds Ho at (0.0000, 0.0000, 0.0000), Tm at (0.0000, 0.0000, 0.5349), Se at (0.0000, 0.0000, 0.7683) and N at (0.0000, 0.0000, 0.2655).

As for the energy: -83.17 eV for the cell shown. The value obtained for the energy relative to the elements, uncorrected is -1.716 eV/atom.